5
Lattice="5.877 0.000 0.000 0.000 5.877 0.000 0.000 0.000 5.877" Properties=species:S:1:pos:R:3 comment="YSn3N | Alexandria via LeMat-Bulk | PBE | optimized geometry" raw_formation_energy_kj_per_mol_fu=703 total_magnetization_mub_per_fu=2.9 e_above_lowest_polymorph_mev_per_atom=1306 crystal_system=cubic pbc="T T T"
Y 0.000 0.000 0.000
Sn 0.000 0.000 2.938
Sn 0.000 2.938 0.000
Sn 2.938 0.000 0.000
N 2.938 2.938 2.938